{
  "formula": "Na3SnRh",
  "functional": "PBE-GGA",
  "state": "optimized geometry",
  "dos_at_fermi_per_ev_fu": 17.7,
  "sg": "Pm-3m, No. 221",
  "polymorph_energy_mev_per_atom": 354.4,
  "cell": [[-0.088, -0.116, 5.714], [-3.373, -4.613, -0.146], [4.614, -3.374, 0.003]],
  "species": ["Na", "Na", "Na", "Rh", "Sn"],
  "fractional_positions": [[0.000, 0.500, 0.000], [0.000, 0.000, 0.500], [0.500, 0.000, 0.000], [0.500, 0.500, 0.500], [0.000, 0.000, 0.000]]
}



{
  "formula": "Na3SnRh",
  "functional": "PBE-GGA",
  "state": "optimized geometry",
  "dos_at_fermi_per_ev_fu": 2.7,
  "sg": "Pm-3m, No. 221",
  "polymorph_energy_mev_per_atom": 0.0,
  "cell": [[5.265, 0.000, 0.000], [0.000, 5.265, 0.000], [0.000, 0.000, 5.265]],
  "species": ["Na", "Na", "Na", "Rh", "Sn"],
  "fractional_positions": [[0.000, 0.500, 0.000], [0.000, 0.000, 0.500], [0.500, 0.000, 0.000], [0.000, 0.000, 0.000], [0.500, 0.500, 0.500]]
}



{
  "formula": "NaSn8Rh2",
  "functional": "PBE-GGA",
  "state": "optimized geometry",
  "dos_at_fermi_per_ev_fu": 6.9,
  "sg": "P4/mmm, No. 123",
  "cell": [[-5.657, -1.649, 3.029], [3.289, -0.831, 5.691], [-0.993, 6.093, 1.464]],
  "species": ["Na", "Sn", "Sn", "Sn", "Sn", "Sn", "Sn", "Sn", "Sn", "Rh", "Rh"],
  "fractional_positions": [[0.500, 0.500, 0.500], [0.770, 0.770, 0.247], [0.770, 0.230, 0.753], [0.770, 0.770, 0.753], [0.770, 0.230, 0.247], [0.230, 0.770, 0.247], [0.230, 0.770, 0.753], [0.230, 0.230, 0.247], [0.230, 0.230, 0.753], [0.500, 0.000, 0.000], [0.000, 0.500, 0.000]]
}



{
  "formula": "NaSn2Rh2",
  "functional": "PBE-GGA",
  "state": "optimized geometry",
  "dos_at_fermi_per_ev_fu": 1.5,
  "sg": "P4/mbm, No. 127",
  "polymorph_energy_mev_per_atom": 0.0,
  "cell": [[-5.516, -5.147, -2.117], [4.396, -5.858, 2.786], [-1.330, 0.302, 2.733]],
  "species": ["Na", "Na", "Rh", "Rh", "Rh", "Rh", "Sn", "Sn", "Sn", "Sn"],
  "fractional_positions": [[0.000, 0.000, 0.000], [0.500, 0.500, 0.000], [0.361, 0.861, 0.000], [0.861, 0.639, 0.000], [0.639, 0.139, 0.000], [0.139, 0.361, 0.000], [0.156, 0.656, 0.500], [0.656, 0.844, 0.500], [0.844, 0.344, 0.500], [0.344, 0.156, 0.500]]
}



{
  "formula": "NaSn2Rh2",
  "functional": "PBE-GGA",
  "state": "optimized geometry",
  "dos_at_fermi_per_ev_fu": 1.9,
  "sg": "I4/mmm, No. 139",
  "polymorph_energy_mev_per_atom": 88.3,
  "cell": [[-1.559, -4.037, 0.301], [3.579, -1.224, 2.123], [-1.543, -1.264, 6.303]],
  "species": ["Na", "Rh", "Rh", "Sn", "Sn"],
  "fractional_positions": [[0.000, 0.000, 0.000], [0.750, 0.250, 0.500], [0.250, 0.750, 0.500], [0.374, 0.374, 0.252], [0.626, 0.626, 0.748]]
}



{
  "formula": "NaSn2Rh",
  "functional": "PBE-GGA",
  "state": "optimized geometry",
  "dos_at_fermi_per_ev_fu": 1.7,
  "sg": "Pnma, No. 62",
  "cell": [[5.811, 0.000, 0.000], [0.000, 7.667, 0.000], [0.000, 0.000, 15.869]],
  "species": ["Na", "Na", "Na", "Na", "Na", "Na", "Na", "Na", "Sn", "Sn", "Sn", "Sn", "Sn", "Sn", "Sn", "Sn", "Sn", "Sn", "Sn", "Sn", "Sn", "Sn", "Sn", "Sn", "Rh", "Rh", "Rh", "Rh", "Rh", "Rh", "Rh", "Rh"],
  "fractional_positions": [[0.474, 0.250, 0.139], [0.974, 0.750, 0.361], [0.526, 0.750, 0.861], [0.026, 0.250, 0.639], [0.759, 0.250, 0.392], [0.259, 0.750, 0.108], [0.241, 0.750, 0.608], [0.741, 0.250, 0.892], [0.982, 0.047, 0.212], [0.482, 0.953, 0.288], [0.018, 0.547, 0.788], [0.518, 0.453, 0.712], [0.018, 0.953, 0.788], [0.518, 0.047, 0.712], [0.982, 0.453, 0.212], [0.482, 0.547, 0.288], [0.750, 0.549, 0.036], [0.250, 0.451, 0.464], [0.250, 0.049, 0.964], [0.750, 0.951, 0.536], [0.250, 0.451, 0.964], [0.750, 0.549, 0.536], [0.750, 0.951, 0.036], [0.250, 0.049, 0.464], [0.238, 0.250, 0.319], [0.738, 0.750, 0.181], [0.762, 0.750, 0.681], [0.262, 0.250, 0.819], [0.987, 0.250, 0.072], [0.487, 0.750, 0.428], [0.013, 0.750, 0.928], [0.513, 0.250, 0.572]]
}



{
  "formula": "NaSnRh",
  "functional": "PBE-GGA",
  "state": "optimized geometry",
  "dos_at_fermi_per_ev_fu": 1.5,
  "sg": "P3m1, No. 156",
  "cell": [[3.238, 0.000, 0.000], [0.000, 4.627, 0.000], [0.000, -2.314, 4.007]],
  "species": ["Na", "Rh", "Sn"],
  "fractional_positions": [[0.667, 0.333, 0.667], [0.168, 0.667, 0.333], [0.165, 0.000, 0.000]]
}



{
  "formula": "Na2Sn5Rh3",
  "functional": "PBE-GGA",
  "state": "optimized geometry",
  "dos_at_fermi_per_ev_fu": 5.2,
  "sg": "Cmc2_1, No. 36",
  "cell": [[4.424, 0.000, -0.754], [0.000, 7.151, 0.000], [0.003, 0.000, 13.383]],
  "species": ["Na", "Na", "Na", "Na", "Sn", "Sn", "Sn", "Sn", "Sn", "Sn", "Sn", "Sn", "Sn", "Sn", "Rh", "Rh", "Rh", "Rh", "Rh", "Rh"],
  "fractional_positions": [[0.480, 0.756, 0.959], [0.173, 0.723, 0.347], [0.827, 0.223, 0.653], [0.520, 0.256, 0.041], [0.402, 0.385, 0.803], [0.292, 0.509, 0.584], [0.708, 0.009, 0.416], [0.121, 0.257, 0.242], [0.295, 0.940, 0.590], [0.952, 0.094, 0.904], [0.705, 0.440, 0.410], [0.879, 0.757, 0.758], [0.048, 0.594, 0.096], [0.598, 0.885, 0.197], [0.777, 0.722, 0.553], [0.604, 0.504, 0.209], [0.050, 0.976, 0.100], [0.223, 0.222, 0.447], [0.950, 0.476, 0.900], [0.396, 0.004, 0.791]]
}



{
  "formula": "Na2SnRh2",
  "functional": "PBE-GGA",
  "state": "optimized geometry",
  "dos_at_fermi_per_ev_fu": 1.4,
  "sg": "P4/mbm, No. 127",
  "cell": [[6.605, 0.000, 0.000], [0.000, 6.605, 0.000], [0.000, 0.000, 4.857]],
  "species": ["Na", "Na", "Na", "Na", "Rh", "Rh", "Rh", "Rh", "Sn", "Sn"],
  "fractional_positions": [[0.167, 0.667, 0.500], [0.667, 0.833, 0.500], [0.833, 0.333, 0.500], [0.333, 0.167, 0.500], [0.365, 0.865, 0.000], [0.865, 0.635, 0.000], [0.635, 0.135, 0.000], [0.135, 0.365, 0.000], [0.000, 0.000, 0.000], [0.500, 0.500, 0.000]]
}



{
  "formula": "Na2SnRh4",
  "functional": "PBE-GGA",
  "state": "optimized geometry",
  "dos_at_fermi_per_ev_fu": 8.9,
  "sg": "I4/mmm, No. 139",
  "cell": [[-1.905, -3.618, 2.686], [-1.337, -2.332, -4.088], [4.566, -6.318, -0.817]],
  "species": ["Na", "Na", "Rh", "Rh", "Rh", "Rh", "Sn"],
  "fractional_positions": [[0.624, 0.624, 0.752], [0.376, 0.376, 0.248], [0.823, 0.823, 0.353], [0.177, 0.177, 0.647], [0.000, 0.500, 0.000], [0.500, 0.000, 0.000], [0.000, 0.000, 0.000]]
}



{
  "formula": "NaSnRh",
  "functional": "PBE-GGA",
  "state": "optimized geometry",
  "dos_at_fermi_per_ev_fu": 2.2,
  "sg": "I4mm, No. 107",
  "cell": [[3.309, 0.000, 0.000], [0.000, 3.309, 0.000], [-1.655, -1.655, 5.785]],
  "species": ["Na", "Rh", "Sn"],
  "fractional_positions": [[0.990, 0.990, 0.980], [0.313, 0.313, 0.626], [0.697, 0.697, 0.394]]
}



{
  "formula": "NaSn4Rh",
  "functional": "PBE-GGA",
  "state": "optimized geometry",
  "dos_at_fermi_per_ev_fu": 2.0,
  "sg": "P-1, No. 2",
  "cell": [[-3.988, 3.704, 4.645], [-4.095, -5.724, 0.892], [5.486, -3.986, 2.063]],
  "species": ["Na", "Na", "Sn", "Sn", "Sn", "Sn", "Sn", "Sn", "Sn", "Sn", "Rh", "Rh"],
  "fractional_positions": [[0.009, 0.797, 0.148], [0.991, 0.203, 0.852], [0.616, 0.075, 0.908], [0.735, 0.454, 0.066], [0.384, 0.925, 0.092], [0.265, 0.546, 0.934], [0.858, 0.843, 0.517], [0.414, 0.642, 0.593], [0.142, 0.157, 0.483], [0.586, 0.358, 0.407], [0.500, 0.000, 0.500], [0.000, 0.500, 0.500]]
}



{
  "formula": "NaSn2Rh",
  "functional": "PBE-GGA",
  "state": "optimized geometry",
  "dos_at_fermi_per_ev_fu": 3.2,
  "sg": "P4/mmm, No. 123",
  "cell": [[-2.591, 1.042, -1.804], [-1.817, 0.279, 2.771], [2.460, 7.586, 0.849]],
  "species": ["Na", "Rh", "Sn", "Sn"],
  "fractional_positions": [[0.500, 0.500, 0.500], [0.500, 0.500, 0.000], [0.000, 0.000, 0.802], [0.000, 0.000, 0.198]]
}



{
  "formula": "NaSn2Rh",
  "functional": "PBE-GGA",
  "state": "optimized geometry",
  "dos_at_fermi_per_ev_fu": 2.7,
  "sg": "R3m, No. 160",
  "cell": [[4.458, 0.000, 0.000], [2.229, 3.861, 0.000], [2.229, 1.287, 5.481]],
  "species": ["Na", "Sn", "Sn", "Rh"],
  "fractional_positions": [[0.493, 0.493, 0.520], [0.056, 0.056, 0.831], [0.277, 0.277, 0.169], [0.674, 0.674, 0.979]]
}



{
  "formula": "NaSn3Rh",
  "functional": "PBE-GGA",
  "state": "optimized geometry",
  "dos_at_fermi_per_ev_fu": 2.5,
  "sg": "Pnma, No. 62",
  "polymorph_energy_mev_per_atom": 0.0,
  "cell": [[4.402, 0.000, 0.000], [0.000, 8.828, 0.000], [0.000, 0.000, 12.279]],
  "species": ["Na", "Na", "Na", "Na", "Sn", "Sn", "Sn", "Sn", "Sn", "Sn", "Sn", "Sn", "Sn", "Sn", "Sn", "Sn", "Rh", "Rh", "Rh", "Rh"],
  "fractional_positions": [[0.750, 0.820, 0.994], [0.250, 0.680, 0.494], [0.750, 0.320, 0.506], [0.250, 0.180, 0.006], [0.250, 0.568, 0.078], [0.750, 0.432, 0.922], [0.250, 0.068, 0.422], [0.750, 0.932, 0.578], [0.250, 0.394, 0.689], [0.750, 0.106, 0.189], [0.250, 0.894, 0.811], [0.750, 0.641, 0.714], [0.250, 0.359, 0.286], [0.750, 0.141, 0.786], [0.750, 0.606, 0.311], [0.250, 0.859, 0.214], [0.250, 0.096, 0.647], [0.250, 0.596, 0.853], [0.750, 0.404, 0.147], [0.750, 0.904, 0.353]]
}



{
  "formula": "Na2SnRh",
  "functional": "PBE-GGA",
  "state": "optimized geometry",
  "dos_at_fermi_per_ev_fu": 2.2,
  "sg": "I-42d, No. 122",
  "cell": [[-1.118, -3.732, 0.427], [2.951, -1.149, -2.310], [7.459, -3.390, 7.889]],
  "species": ["Na", "Na", "Na", "Na", "Rh", "Rh", "Sn", "Sn"],
  "fractional_positions": [[0.612, 0.125, 0.250], [0.138, 0.625, 0.250], [0.375, 0.388, 0.750], [0.875, 0.862, 0.750], [0.500, 0.500, 0.000], [0.250, 0.750, 0.500], [0.000, 0.000, 0.000], [0.750, 0.250, 0.500]]
}



{
  "formula": "NaSnRh2",
  "functional": "PBE-GGA",
  "state": "optimized geometry",
  "dos_at_fermi_per_ev_fu": 3.3,
  "sg": "Immm, No. 71",
  "cell": [[5.033, -1.676, -3.045], [-1.447, 5.104, 3.045], [-3.557, 0.131, 4.975]],
  "species": ["Na", "Sn", "Rh", "Rh"],
  "fractional_positions": [[0.000, 0.000, 0.000], [0.000, 0.500, 0.500], [0.000, 0.267, 0.267], [0.000, 0.733, 0.733]]
}



{
  "formula": "NaSn2Rh",
  "functional": "PBE-GGA",
  "state": "optimized geometry",
  "dos_at_fermi_per_ev_fu": 3.7,
  "sg": "R-3m, No. 166",
  "cell": [[3.359, 0.000, 0.000], [1.680, 2.909, 0.000], [1.680, 0.970, 9.286]],
  "species": ["Na", "Rh", "Sn", "Sn"],
  "fractional_positions": [[0.500, 0.500, 0.500], [0.000, 0.000, 0.000], [0.736, 0.736, 0.791], [0.264, 0.264, 0.209]]
}



{
  "formula": "NaSnRh2",
  "functional": "PBE-GGA",
  "state": "optimized geometry",
  "dos_at_fermi_per_ev_fu": 3.0,
  "sg": "I-42d, No. 122",
  "cell": [[-1.944, 4.879, -5.136], [-4.690, -4.878, -2.859], [-5.407, 0.994, -2.263]],
  "species": ["Na", "Na", "Rh", "Rh", "Rh", "Rh", "Sn", "Sn"],
  "fractional_positions": [[0.500, 0.500, 0.000], [0.250, 0.750, 0.500], [0.656, 0.125, 0.250], [0.094, 0.625, 0.250], [0.375, 0.344, 0.750], [0.875, 0.906, 0.750], [0.000, 0.000, 0.000], [0.750, 0.250, 0.500]]
}



{
  "formula": "NaSnRh2",
  "functional": "PBE-GGA",
  "state": "optimized geometry",
  "dos_at_fermi_per_ev_fu": 1.4,
  "sg": "P4/mmm, No. 123",
  "cell": [[-2.143, -2.401, 0.195], [1.302, -1.374, -2.610], [4.252, -3.473, 3.951]],
  "species": ["Na", "Rh", "Rh", "Sn"],
  "fractional_positions": [[0.500, 0.500, 0.500], [0.000, 0.000, 0.781], [0.000, 0.000, 0.219], [0.500, 0.500, 0.000]]
}



{
  "formula": "NaSn2Rh",
  "functional": "PBE-GGA",
  "state": "optimized geometry",
  "dos_at_fermi_per_ev_fu": 1.9,
  "sg": "Fm-3m, No. 225",
  "cell": [[0.000, 3.398, 3.398], [3.398, 0.000, 3.398], [3.398, 3.398, 0.000]],
  "species": ["Na", "Rh", "Sn", "Sn"],
  "fractional_positions": [[0.000, 0.000, 0.000], [0.500, 0.500, 0.500], [0.250, 0.250, 0.250], [0.750, 0.750, 0.750]]
}



{
  "formula": "NaSn2Rh2",
  "functional": "PBE-GGA",
  "state": "optimized geometry",
  "dos_at_fermi_per_ev_fu": 3.6,
  "sg": "Pmma, No. 51",
  "polymorph_energy_mev_per_atom": 141.8,
  "cell": [[-4.551, -0.087, 0.041], [0.121, -5.249, 2.227], [0.007, 2.910, 6.857]],
  "species": ["Na", "Na", "Sn", "Sn", "Sn", "Sn", "Rh", "Rh", "Rh", "Rh"],
  "fractional_positions": [[0.000, 0.000, 0.000], [0.000, 0.500, 0.000], [0.000, 0.750, 0.611], [0.000, 0.250, 0.389], [0.500, 0.750, 0.201], [0.500, 0.250, 0.799], [0.500, 0.750, 0.844], [0.500, 0.250, 0.156], [0.500, 0.500, 0.500], [0.500, 0.000, 0.500]]
}



{
  "formula": "NaSn2Rh3",
  "functional": "PBE-GGA",
  "state": "optimized geometry",
  "dos_at_fermi_per_ev_fu": 4.8,
  "sg": "P6/mmm, No. 191",
  "cell": [[-0.275, 2.074, -3.533], [-1.127, -4.971, -2.830], [-4.379, 3.161, 2.197]],
  "species": ["Na", "Sn", "Sn", "Rh", "Rh", "Rh"],
  "fractional_positions": [[0.000, 0.000, 0.000], [0.000, 0.667, 0.333], [0.000, 0.333, 0.667], [0.500, 0.000, 0.500], [0.500, 0.500, 0.500], [0.500, 0.500, 0.000]]
}



{
  "formula": "NaSnRh2",
  "functional": "PBE-GGA",
  "state": "optimized geometry",
  "dos_at_fermi_per_ev_fu": 1.9,
  "sg": "P4/mmm, No. 123",
  "cell": [[3.221, 0.000, 0.000], [0.000, 4.526, 0.000], [0.000, 0.000, 4.526]],
  "species": ["Na", "Rh", "Rh", "Sn"],
  "fractional_positions": [[0.500, 0.000, 0.000], [0.000, 0.000, 0.500], [0.000, 0.500, 0.000], [0.500, 0.500, 0.500]]
}



Calculated values (eV per atom) of ΔH_f (0 K) for the records, taken in order: 0.927; 0.573; -0.115; -0.420; -0.332; -0.337; -0.113; -0.329; -0.100; 0.929; -0.162; -0.180; -0.316; -0.284; -0.290; 0.075; 0.421; -0.212; 0.229; -0.129; -0.184; -0.279; -0.247; -0.145.